No. 1
The following is a DFT calculation (PBE) of a relaxed structure of Co2SnC.

Total energy: -25.79 eV per formula unit
DOS at the Fermi energy: 3.364 states/eV per cell
ΔE to the lowest computed polymorph: 0 meV/atom
Energy of formation: 1.65 eV/f.u.
Total moment: 0.0 Bohr magnetons per cell

a b c (Å): 5.102 5.102 5.751
angles (deg): 63.67 63.67 90.00
Element x y z (fractional)
Co (0.496, 0.125, 0.250)
Co (0.375, 0.504, 0.750)
C (0.250, 0.750, 0.500)
C (0.500, 0.500, 0.000)
Co (0.875, 0.746, 0.750)
Sn (0.000, 0.000, 0.000)
Sn (0.750, 0.250, 0.500)
Co (0.254, 0.625, 0.250)

***

No. 2
The following is a DFT calculation (PBE) of a relaxed structure of CoSnC3.

Total energy: -21.99 eV per formula unit
DOS at the Fermi energy: 8.241 states/eV per cell
ΔE to the lowest computed polymorph: 1351 meV/atom
Energy of formation: 16.79 eV/f.u.
Total moment: 0.0 Bohr magnetons per cell

a b c (Å): 4.187 4.187 4.187
angles (deg): 90.00 90.00 90.00
Element x y z (fractional)
C (0.000, 0.000, 0.500)
Sn (0.000, 0.000, 0.000)
Co (0.500, 0.500, 0.500)
C (0.000, 0.500, 0.000)
C (0.500, 0.000, 0.000)

***

No. 3
The following is a DFT calculation (PBE) of a relaxed structure of CoSn2C.

Total energy: -20.80 eV per formula unit
DOS at the Fermi energy: 6.399 states/eV per cell
Energy of formation: 3.53 eV/f.u.
Total moment: 1.5 Bohr magnetons per cell

a b c (Å): 5.901 5.901 6.039
angles (deg): 60.75 60.75 90.00
Last column: magnetic moment on the atom in μB.
Element x y z (fractional)
Sn (0.375, 0.419, 0.750)  -0.03
Sn (0.169, 0.625, 0.250)  -0.02
C (0.500, 0.500, 0.000)  0.04
C (0.250, 0.750, 0.500)  0.04
Sn (0.581, 0.125, 0.250)  -0.02
Co (0.750, 0.250, 0.500)  0.73
Co (0.000, 0.000, 0.000)  0.73
Sn (0.875, 0.831, 0.750)  -0.03

***

No. 4
The following is a DFT calculation (PBE) of a relaxed structure of CoSn3C.

Total energy: -22.41 eV per formula unit
DOS at the Fermi energy: 3.211 states/eV per cell
ΔE to the lowest computed polymorph: 20 meV/atom
Energy of formation: 5.93 eV/f.u.
Total moment: 1.0 Bohr magnetons per cell

a b c (Å): 4.837 4.837 4.837
angles (deg): 90.00 90.00 90.00
Last column: magnetic moment on the atom in μB.
Element x y z (fractional)
Sn (0.000, 0.500, 0.000)  -0.02
C (0.500, 0.500, 0.500)  0.73
Sn (0.000, 0.000, 0.500)  -0.04
Co (0.000, 0.000, 0.000)  -0.34
Sn (0.500, 0.000, 0.000)  -0.01

***

> Among the records above, which one has the highest total energy?

CoSn2C

***

> The highest total energy belongs to which entry?

CoSn2C